First-principles (SCAN) data for TaGeAs2Br at its PBEsol-relaxed geometry, as listed in the Alexandria database.

Cell: 4.791 4.791 4.858 Å, 90.00 90.00 90.00°
Site moments in Bohr magnetons follow the coordinates.
Atoms (fractional coordinates):
Br 0.000 0.000 0.500  -0.09
Ta 0.500 0.500 0.500  1.75
As 0.000 0.500 0.000  -0.18
As 0.500 0.000 0.000  -0.18
Ge 0.000 0.000 0.000  -0.02

Output
Fermi-level density of states = 3.66 states/eV/cell
crystal system = tetragonal
energy relative to the elements, uncorrected = 1225.1 meV/atom

First-principles (SCAN) data for Y2Pt2Pb at its PBEsol-relaxed geometry, as listed in the Alexandria database.

Cell: 3.827 3.827 8.582 Å, 102.88 102.88 90.00°
Atoms (fractional coordinates):
Y 0.623 0.623 0.245
Y 0.377 0.377 0.755
Pb 0.000 0.000 0.000
Pt 0.750 0.250 0.500
Pt 0.250 0.750 0.500

Output
Fermi-level density of states = 2.47 states/eV/cell
crystal system = tetragonal
DFT formation energy = -0.99 eV/atom

First-principles (SCAN) data for MgZnPdCl2 at its PBEsol-relaxed geometry, as listed in the Alexandria database.

Cell: 4.787 4.787 5.160 Å, 90.00 90.00 90.00°
Atoms (fractional coordinates):
Cl 0.500 0.000 0.000
Cl 0.000 0.500 0.000
Mg 0.000 0.000 0.500
Zn 0.500 0.500 0.500
Pd 0.000 0.000 0.000

Output
Fermi-level density of states = 1.39 states/eV/cell
crystal system = tetragonal
energy relative to the elements, uncorrected = -180.6 meV/atom

First-principles (SCAN) data for KSb2 at its PBEsol-relaxed geometry, as listed in the Alexandria database.

Cell: 4.199 4.330 11.734 Å, 79.37 90.00 90.00°
Atoms (fractional coordinates):
Sb 0.750 0.539 0.921
Sb 0.750 0.251 0.498
Sb 0.250 0.749 0.502
Sb 0.250 0.461 0.079
K 0.250 0.121 0.759
K 0.750 0.879 0.241

Output
Fermi-level density of states = 2.60 states/eV/cell
crystal system = orthorhombic
energy relative to the elements, uncorrected = -255.2 meV/atom